The following is a DFT calculation (GGA-PBE) of a geometry-optimized Th4AgPd2 structure.

Structure (extended XYZ):
```
7
Lattice="-0.0467 3.3596 2.7054 -2.9657 0.2114 3.1253 6.6852 -4.9108 9.6528" Properties=species:S:1:pos:R:3 pbc="T T T"
Th 3.9403 -1.9457 12.8014
Th -0.2675 0.6059 2.6821
Th 4.0439 -2.8151 7.0047
Th -0.3711 1.4752 8.4788
Pd 4.0315 -2.4117 9.9426
Pd -0.3588 1.0718 5.5409
Ag 1.8364 -0.6699 7.7418
```

Formation energy from the elements in eV per atom: -0.207
Electronic total energy in eV/cell: -44.36

=====

The following is a DFT calculation (GGA-PBE) of a geometry-optimized Fe2HgRh structure.

Structure (extended XYZ):
```
4
Lattice="3.0249 0.0000 0.0000 0.0000 3.0249 0.0000 0.0000 0.0000 6.5035" Properties=species:S:1:pos:R:3 pbc="T T T"
Hg 0.0000 0.0000 3.1892
Rh 1.5124 1.5124 5.1371
Fe 0.0000 0.0000 0.0620
Fe 1.5124 1.5124 1.3671
```

Formation energy from the elements in eV per atom: 0.144
Electronic total energy in eV/cell: -24.00

=====

The following is a DFT calculation (GGA-PBE) of a geometry-optimized Hf2ReNi structure.

Structure (extended XYZ):
```
8
Lattice="-1.0012 -2.5147 3.0978 3.9862 -0.4907 0.8900 1.1140 5.4742 7.5354" Properties=species:S:1:pos:R:3 pbc="T T T"
Ni 1.4925 -1.5027 1.9939
Ni 3.2963 1.7404 5.2097
Hf 1.9615 2.9778 7.1485
Hf 3.4407 1.4767 9.1394
Hf 2.6431 0.7434 2.8325
Hf 0.1527 -0.2603 3.9261
Re 0.0000 0.0000 0.0000
Re 0.8026 0.7284 6.3135
```

Formation energy from the elements in eV per atom: 0.660
Offset from the most stable computed form in meV per atom: 1096
Electronic total energy in eV/cell: -71.00

=====

The following is a DFT calculation (GGA-PBE) of a geometry-optimized BeIn2Si structure.

Structure (extended XYZ):
```
4
Lattice="-0.9533 -4.3125 -2.0253 -0.3172 -3.9726 2.7797 -4.3107 -2.1228 0.7208" Properties=species:S:1:pos:R:3 pbc="T T T"
Be -2.7906 -5.2039 0.7376
In 0.0000 0.0000 0.0000
In -1.3953 -2.6020 0.3688
Si -4.1860 -7.8059 1.1064
```

Formation energy without anion corrections in eV/atom: 0.673
Offset from the most stable computed form in meV per atom: 460
Electronic total energy in eV/cell: -11.93